Version P
The following is a GGA-PBE calculation of a relaxed Pa2AlRh crystal, from Alexandria via LeMat-Bulk.

Unit cell a=3.0722 b=3.0722 c=10.8947 alpha=81.89 beta=81.89 gamma=60.00
Atoms (fractional coordinates):
1 Pa 0.9062 0.9062 0.2814
2 Pa 0.0938 0.0938 0.7186
3 Al 0.0000 0.0000 0.0000
4 Rh 0.5000 0.5000 0.5000

Summary:
space group = No. 166
M_tot = 0.0 μB/f.u.

Version Q
The following is a GGA-PBE calculation of a relaxed Pa2AlRh crystal, from Alexandria via LeMat-Bulk.

Unit cell a=4.4083 b=4.2695 c=4.2695 alpha=90.00 beta=90.00 gamma=90.00
Atoms (fractional coordinates):
1 Pa 0.0000 0.5000 0.0000
2 Pa 0.0000 0.0000 0.5000
3 Rh 0.5000 0.5000 0.5000
4 Al 0.5000 0.0000 0.0000

Summary:
space group = No. 123
M_tot = 0.0 μB/f.u.

On energetic grounds, version Q is preferred over the next structure by 492 meV/atom.

Version P
The following is a GGA-PBE calculation of a relaxed PaAl2Ru crystal, from Alexandria via LeMat-Bulk.

Unit cell a=4.3379 b=5.0500 c=7.1341 alpha=90.00 beta=90.00 gamma=108.74
Atoms (fractional coordinates):
1 Al 0.3911 0.7233 0.9444
2 Al 0.6089 0.2767 0.4444
3 Al 0.6089 0.2767 0.0556
4 Al 0.3911 0.7233 0.5556
5 Pa 0.0463 0.1473 0.7500
6 Pa 0.9537 0.8527 0.2500
7 Ru 0.8480 0.5972 0.7500
8 Ru 0.1520 0.4028 0.2500

Summary:
space group = No. 11
M_tot = 0.0 μB/f.u.

Version Q
The following is a GGA-PBE calculation of a relaxed PaAl2Ru crystal, from Alexandria via LeMat-Bulk.

Unit cell a=3.0681 b=3.0681 c=7.3703 alpha=90.00 beta=90.00 gamma=90.00
Atoms (fractional coordinates):
1 Pa 0.5000 0.5000 0.5000
2 Al 0.0000 0.0000 0.8125
3 Al 0.0000 0.0000 0.1875
4 Ru 0.5000 0.5000 0.0000

Summary:
space group = No. 123
M_tot = 0.5 μB/f.u.

Version R
The following is a GGA-PBE calculation of a relaxed PaAl2Ru crystal, from Alexandria via LeMat-Bulk.

Unit cell a=4.2464 b=4.2464 c=5.5047 alpha=67.31 beta=67.31 gamma=60.00
Atoms (fractional coordinates):
1 Pa 0.0000 0.0000 0.0000
2 Ru 0.5000 0.5000 0.5000
3 Al 0.7891 0.7891 0.6327
4 Al 0.2109 0.2109 0.3673

Summary:
space group = No. 166
M_tot = 0.0 μB/f.u.

On energetic grounds, version P is preferred over the next structure by 102 meV/atom.

Version P
The following is a GGA-PBE calculation of a relaxed Pa2AlRu crystal, from Alexandria via LeMat-Bulk.

Unit cell a=4.3202 b=4.2980 c=4.2980 alpha=90.00 beta=90.00 gamma=90.00
Atoms (fractional coordinates):
1 Al 0.5000 0.0000 0.0000
2 Pa 0.0000 0.5000 0.0000
3 Pa 0.0000 0.0000 0.5000
4 Ru 0.5000 0.5000 0.5000

Summary:
space group = No. 123
M_tot = 0.0 μB/f.u.

Version Q
The following is a GGA-PBE calculation of a relaxed Pa2AlRu crystal, from Alexandria via LeMat-Bulk.

Unit cell a=3.0596 b=3.0596 c=10.8781 alpha=81.92 beta=81.92 gamma=60.00
Atoms (fractional coordinates):
1 Pa 0.0946 0.0946 0.7161
2 Pa 0.9054 0.9054 0.2839
3 Al 0.0000 0.0000 0.0000
4 Ru 0.5000 0.5000 0.5000

Summary:
space group = No. 166
M_tot = 0.0 μB/f.u.

On energetic grounds, version P is preferred over the next structure by 490 meV/atom.

Version P
The following is a GGA-PBE calculation of a relaxed Pa2AlSb crystal, from Alexandria via LeMat-Bulk.

Unit cell a=3.1673 b=3.1673 c=11.7392 alpha=82.25 beta=82.25 gamma=60.00
Atoms (fractional coordinates):
1 Al 0.0000 0.0000 0.0000
2 Pa 0.9124 0.9124 0.2628
3 Pa 0.0876 0.0876 0.7372
4 Sb 0.5000 0.5000 0.5000

Summary:
space group = No. 166
M_tot = 0.0 μB/f.u.

Version Q
The following is a GGA-PBE calculation of a relaxed Pa2AlSb crystal, from Alexandria via LeMat-Bulk.

Unit cell a=4.4737 b=4.5958 c=4.5958 alpha=90.00 beta=90.00 gamma=90.00
Atoms (fractional coordinates):
1 Pa 0.0000 0.5000 0.0000
2 Pa 0.0000 0.0000 0.5000
3 Sb 0.5000 0.0000 0.0000
4 Al 0.5000 0.5000 0.5000

Summary:
space group = No. 123
M_tot = 1.5 μB/f.u.

On energetic grounds, version Q is preferred over the next structure by 416 meV/atom.